Entry 1:
Material: InH3F
Method: DFT, PBEsol
State: relaxed

Summary:
Total magnetization in Bohr magnetons per cell: 0.95
DFT total energy in eV/atom: -2.36
Space group: Pm-3m (221)

Unit cell a=3.612 b=3.612 c=3.612 alpha=90.00 beta=90.00 gamma=90.00
Fractional coordinates of all 5 atoms:
H  0.000  0.500  0.000
H  0.000  0.000  0.500
H  0.500  0.000  0.000
In  0.500  0.500  0.500
F  0.000  0.000  0.000


Entry 2:
Material: InHF2
Method: DFT, PBEsol
State: relaxed

Summary:
Total magnetization in Bohr magnetons per cell: 0.00
DFT total energy in eV/atom: -4.14
Space group: R-3m (166)

Unit cell a=4.063 b=4.063 c=5.594 alpha=68.71 beta=68.71 gamma=60.00
Fractional coordinates of all 4 atoms:
H  0.000  0.000  0.000
In  0.500  0.500  0.500
F  0.925  0.925  0.226
F  0.075  0.075  0.774


Entry 3:
Material: InH5N2F2
Method: DFT, PBEsol
State: relaxed

Summary:
Total magnetization in Bohr magnetons per cell: 0.00
DFT total energy in eV/atom: -5.07
Space group: P2_1/c (14)

Unit cell a=5.307 b=7.712 c=8.658 alpha=96.56 beta=90.00 gamma=90.00
Fractional coordinates of all 40 atoms:
In  0.576  0.362  0.645
In  0.924  0.862  0.145
In  0.424  0.638  0.355
In  0.076  0.138  0.855
H  0.781  0.041  0.604
H  0.719  0.541  0.104
H  0.219  0.959  0.396
H  0.281  0.459  0.896
H  0.004  0.181  0.566
H  0.496  0.681  0.066
H  0.996  0.819  0.434
H  0.504  0.319  0.934
H  0.005  0.564  0.665
H  0.495  0.064  0.165
H  0.995  0.436  0.335
H  0.505  0.936  0.835
H  0.754  0.690  0.665
H  0.746  0.190  0.165
H  0.246  0.310  0.335
H  0.254  0.810  0.835
H  0.860  0.622  0.832
H  0.640  0.122  0.332
H  0.140  0.378  0.168
H  0.360  0.878  0.668
N  0.861  0.160  0.644
N  0.639  0.660  0.144
N  0.139  0.840  0.356
N  0.361  0.340  0.856
N  0.829  0.586  0.716
N  0.671  0.086  0.216
N  0.171  0.414  0.284
N  0.329  0.914  0.784
F  0.693  0.437  0.414
F  0.807  0.937  0.914
F  0.307  0.563  0.586
F  0.193  0.063  0.086
F  0.342  0.186  0.496
F  0.158  0.686  0.996
F  0.658  0.814  0.504
F  0.842  0.314  0.004


Entry 4:
Material: NaInH8N2F6
Method: DFT, PBEsol
State: relaxed

Summary:
Total magnetization in Bohr magnetons per cell: 0.00
DFT total energy in eV/atom: -4.81
Space group: Fm-3m (225)

Unit cell a=6.058 b=6.058 c=6.058 alpha=60.00 beta=60.00 gamma=60.00
Fractional coordinates of all 18 atoms:
Na  0.000  0.000  0.000
In  0.500  0.500  0.500
H  0.180  0.459  0.180
H  0.180  0.180  0.459
H  0.180  0.180  0.180
H  0.459  0.180  0.180
H  0.820  0.541  0.820
H  0.820  0.820  0.541
H  0.820  0.820  0.820
H  0.541  0.820  0.820
N  0.250  0.250  0.250
N  0.750  0.750  0.750
F  0.744  0.744  0.256
F  0.256  0.744  0.256
F  0.256  0.744  0.744
F  0.256  0.256  0.744
F  0.744  0.256  0.744
F  0.744  0.256  0.256


Entry 5:
Material: InHO2F
Method: DFT, PBEsol
State: relaxed

Summary:
Total magnetization in Bohr magnetons per cell: 3.36
DFT total energy in eV/atom: -2.88
Space group: P4/mmm (123)

Unit cell a=3.993 b=4.272 c=4.272 alpha=90.00 beta=90.00 gamma=90.00
Fractional coordinates of all 5 atoms:
H  0.500  0.500  0.500
F  0.000  0.000  0.000
O  0.000  0.000  0.500
O  0.000  0.500  0.000
In  0.500  0.000  0.000


Entry 6:
Material: HIrF2
Method: DFT, PBEsol
State: relaxed

Summary:
Total magnetization in Bohr magnetons per cell: 1.49
DFT total energy in eV/atom: -4.76
Space group: R-3m (166)

Unit cell a=2.657 b=2.657 c=6.543 alpha=78.29 beta=78.29 gamma=60.00
Fractional coordinates of all 4 atoms:
H  0.000  0.000  0.000
Ir  0.500  0.500  0.500
F  0.940  0.940  0.180
F  0.060  0.060  0.820


Entry 7:
Material: HIrNF2
Method: DFT, PBEsol
State: relaxed

Summary:
Total magnetization in Bohr magnetons per cell: 0.43
DFT total energy in eV/atom: -4.80
Space group: P4/mmm (123)

Unit cell a=2.886 b=2.886 c=5.921 alpha=90.00 beta=90.00 gamma=90.00
Fractional coordinates of all 5 atoms:
H  0.000  0.000  0.000
N  0.000  0.000  0.500
Ir  0.500  0.500  0.500
F  0.000  0.500  0.000
F  0.500  0.000  0.000


Entry 8:
Material: K2HF
Method: DFT, PBEsol
State: relaxed

Summary:
Total magnetization in Bohr magnetons per cell: 0.05
DFT total energy in eV/atom: -3.25
Space group: Fm-3m (225)

Unit cell a=4.584 b=4.584 c=4.584 alpha=60.00 beta=60.00 gamma=60.00
Fractional coordinates of all 4 atoms:
H  0.000  0.000  0.000
K  0.250  0.250  0.250
K  0.750  0.750  0.750
F  0.500  0.500  0.500


Entry 9:
Material: KH4F5
Method: DFT, PBEsol
State: relaxed

Summary:
Total magnetization in Bohr magnetons per cell: 0.27
DFT total energy in eV/atom: -4.34
Space group: I4_1/a (88)

Unit cell a=6.232 b=7.639 c=6.232 alpha=65.93 beta=90.00 gamma=114.07
Fractional coordinates of all 20 atoms:
K  0.750  0.500  0.750
K  0.000  0.000  0.000
H  0.066  0.375  0.463
H  0.309  0.375  0.162
H  0.287  0.875  0.441
H  0.588  0.875  0.684
H  0.684  0.125  0.287
H  0.441  0.125  0.588
H  0.463  0.625  0.309
H  0.162  0.625  0.066
F  0.250  0.500  0.250
F  0.500  0.000  0.500
F  0.940  0.293  0.610
F  0.353  0.293  0.098
F  0.140  0.793  0.397
F  0.652  0.793  0.810
F  0.810  0.207  0.140
F  0.397  0.207  0.652
F  0.610  0.707  0.353
F  0.098  0.707  0.940


Entry 10:
Material: KH3F4
Method: DFT, PBEsol
State: relaxed

Summary:
Total magnetization in Bohr magnetons per cell: 0.20
DFT total energy in eV/atom: -4.36
Space group: R-3c (167)

Unit cell a=5.837 b=5.837 c=5.837 alpha=77.74 beta=77.74 gamma=77.74
Fractional coordinates of all 16 atoms:
F  0.250  0.250  0.250
F  0.750  0.750  0.750
F  0.250  0.575  0.925
F  0.575  0.925  0.250
F  0.925  0.250  0.575
F  0.750  0.425  0.075
F  0.425  0.075  0.750
F  0.075  0.750  0.425
H  0.250  0.437  0.063
H  0.437  0.063  0.250
H  0.063  0.250  0.437
H  0.750  0.563  0.937
H  0.563  0.937  0.750
H  0.937  0.750  0.563
K  0.500  0.500  0.500
K  0.000  0.000  0.000


Entry 11:
Material: KHF3
Method: DFT, PBEsol
State: relaxed

Summary:
Total magnetization in Bohr magnetons per cell: 1.00
DFT total energy in eV/atom: -3.22
Space group: Pm-3m (221)

Unit cell a=3.699 b=3.699 c=3.699 alpha=90.00 beta=90.00 gamma=90.00
Fractional coordinates of all 5 atoms:
H  0.000  0.000  0.000
K  0.500  0.500  0.500
F  0.000  0.500  0.000
F  0.000  0.000  0.500
F  0.500  0.000  0.000


Entry 12:
Material: K2HF
Method: DFT, PBEsol
State: relaxed

Summary:
Total magnetization in Bohr magnetons per cell: 0.00
DFT total energy in eV/atom: -3.25
Space group: I-42d (122)

Unit cell a=5.991 b=5.991 c=7.291 alpha=114.26 beta=114.26 gamma=90.00
Fractional coordinates of all 8 atoms:
H  0.750  0.250  0.500
H  0.500  0.500  0.000
K  0.359  0.875  0.250
K  0.891  0.375  0.250
K  0.125  0.109  0.750
K  0.625  0.641  0.750
F  0.250  0.750  0.500
F  0.000  0.000  0.000


Copy entry 11 word for word.
Material: KHF3
Method: DFT, PBEsol
State: relaxed

Summary:
Total magnetization in Bohr magnetons per cell: 1.00
DFT total energy in eV/atom: -3.22
Space group: Pm-3m (221)

Unit cell a=3.699 b=3.699 c=3.699 alpha=90.00 beta=90.00 gamma=90.00
Fractional coordinates of all 5 atoms:
H  0.000  0.000  0.000
K  0.500  0.500  0.500
F  0.000  0.500  0.000
F  0.000  0.000  0.500
F  0.500  0.000  0.000


- What is the DFT total energy in the fourth record?
  -4.81 eV/atom


- Among the records above, which one has the lowest DFT total energy?
  InH5N2F2